[1]
Here is a relaxed LiAgSe2 crystal from the Alexandria database. Energies are from PBE.

Properties
volume: 19.21 A^3/atom
excess energy over the best structure of this formula in the dataset: 0.2043 eV/atom
E_tot: -50.5 eV for the cell shown
space group: Fm-3m
formation energy without anion corrections: -0.90 eV per formula unit

Cell: 6.749 6.749 6.749 Å, 90.00 90.00 90.00°
Atoms (fractional coordinates):
Li1 0.000 0.000 0.000
Li2 0.000 0.500 0.500
Li3 0.500 0.000 0.500
Li4 0.500 0.500 0.000
Ag1 0.000 0.000 0.500
Ag2 0.000 0.500 0.000
Ag3 0.500 0.000 0.000
Ag4 0.500 0.500 0.500
Se1 0.250 0.250 0.250
Se2 0.250 0.250 0.750
Se3 0.250 0.750 0.250
Se4 0.250 0.750 0.750
Se5 0.750 0.250 0.250
Se6 0.750 0.250 0.750
Se7 0.750 0.750 0.250
Se8 0.750 0.750 0.750

***

[2]
Here is a relaxed RbErPb2F8 crystal from the Alexandria database. Energies are from PBE.

Properties
volume: 17.34 A^3/atom
E_tot: -64.3 eV for the cell shown
space group: P2/m
formation energy without anion corrections: -36.35 eV per formula unit

Cell: 4.124 8.324 6.062 Å, 90.00 90.07 90.00°
Atoms (fractional coordinates):
Rb1 0.000 0.000 0.000
Er1 0.000 0.500 0.000
Pb1 0.500 0.247 0.500
Pb2 0.500 0.753 0.500
F1 0.000 0.295 0.241
F2 0.000 0.295 0.759
F3 0.000 0.705 0.241
F4 0.000 0.705 0.759
F5 0.499 0.000 0.713
F6 0.500 0.500 0.201
F7 0.500 0.500 0.799
F8 0.501 0.000 0.287

***

[3]
Here is a relaxed NpUSe3 crystal from the Alexandria database. Energies are from PBE.

Properties
volume: 24.47 A^3/atom
excess energy over the best structure of this formula in the dataset: 0.0000 eV/atom
E_tot: -162.6 eV for the cell shown
space group: Pnma
formation energy without anion corrections: -5.98 eV per formula unit

Cell: 7.693 4.062 15.662 Å, 90.00 90.00 90.00°
Atoms (fractional coordinates):
Np1 0.110 0.250 0.210
Np2 0.390 0.750 0.710
Np3 0.610 0.250 0.290
Np4 0.890 0.750 0.790
U1 0.240 0.750 0.459
U2 0.260 0.250 0.959
U3 0.740 0.750 0.041
U4 0.760 0.250 0.541
Se1 0.003 0.250 0.395
Se2 0.123 0.750 0.071
Se3 0.166 0.250 0.778
Se4 0.334 0.750 0.278
Se5 0.377 0.250 0.571
Se6 0.497 0.750 0.895
Se7 0.503 0.250 0.105
Se8 0.623 0.750 0.429
Se9 0.666 0.250 0.722
Se10 0.834 0.750 0.222
Se11 0.877 0.250 0.929
Se12 0.997 0.750 0.605

***

[4]
Here is a relaxed KSrAg crystal from the Alexandria database. Energies are from PBE.

Properties
volume: 42.12 A^3/atom
excess energy over the best structure of this formula in the dataset: 0.0581 eV/atom
DFT formation energy: 0.009 eV per atom
E_tot: -22.4 eV for the cell shown
space group: F-43m

Cell: 7.966 7.966 7.966 Å, 90.00 90.00 90.00°
Atoms (fractional coordinates):
K1 0.000 0.000 0.000
K2 0.000 0.500 0.500
K3 0.500 0.000 0.500
K4 0.500 0.500 0.000
Sr1 0.000 0.000 0.500
Sr2 0.000 0.500 0.000
Sr3 0.500 0.000 0.000
Sr4 0.500 0.500 0.500
Ag1 0.250 0.250 0.250
Ag2 0.250 0.750 0.750
Ag3 0.750 0.250 0.750
Ag4 0.750 0.750 0.250

***

[5]
Here is a relaxed ErHfNi2 crystal from the Alexandria database. Energies are from PBE.

Properties
volume: 17.50 A^3/atom
DFT formation energy: -0.446 eV per atom
E_tot: -27.9 eV for the cell shown
space group: P4/mmm

Cell: 3.252 3.252 6.619 Å, 90.00 90.00 90.00°
Atoms (fractional coordinates):
Er1 0.000 0.000 0.000
Hf1 0.000 0.000 0.500
Ni1 0.500 0.500 0.287
Ni2 0.500 0.500 0.713

***

[6]
Here is a relaxed CsPb4Au4 crystal from the Alexandria database. Energies are from PBE.

Properties
volume: 29.67 A^3/atom
excess energy over the best structure of this formula in the dataset: 0.0000 eV/atom
DFT formation energy: -0.161 eV per atom
E_tot: -60.5 eV for the cell shown
space group: P4_2/nmc

Cell: 7.294 7.294 10.039 Å, 90.00 90.00 90.00°
Atoms (fractional coordinates):
Cs1 0.250 0.750 0.250
Cs2 0.750 0.250 0.750
Pb1 0.005 0.250 0.114
Pb2 0.250 0.005 0.614
Pb3 0.250 0.495 0.614
Pb4 0.495 0.250 0.114
Pb5 0.505 0.750 0.886
Pb6 0.750 0.505 0.386
Pb7 0.750 0.995 0.386
Pb8 0.995 0.750 0.886
Au1 0.058 0.250 0.406
Au2 0.250 0.058 0.906
Au3 0.250 0.442 0.906
Au4 0.442 0.250 0.406
Au5 0.558 0.750 0.594
Au6 0.750 0.558 0.094
Au7 0.750 0.942 0.094
Au8 0.942 0.750 0.594

***

[7]
Here is a relaxed Sm6Pt2Rh crystal from the Alexandria database. Energies are from PBE.

Properties
volume: 28.51 A^3/atom
DFT formation energy: -0.720 eV per atom
E_tot: -108.5 eV for the cell shown
space group: P2_1/c

Cell: 6.736 7.389 11.946 Å, 90.00 120.35 90.00°
Atoms (fractional coordinates):
Sm1 0.094 0.045 0.253
Sm2 0.094 0.455 0.753
Sm3 0.253 0.676 0.076
Sm4 0.253 0.824 0.576
Sm5 0.399 0.185 0.068
Sm6 0.399 0.315 0.568
Sm7 0.601 0.685 0.432
Sm8 0.601 0.815 0.932
Sm9 0.747 0.176 0.424
Sm10 0.747 0.324 0.924
Sm11 0.906 0.545 0.247
Sm12 0.906 0.955 0.747
Pt1 0.325 0.114 0.770
Pt2 0.325 0.386 0.270
Pt3 0.675 0.614 0.730
Pt4 0.675 0.886 0.230
Rh1 0.000 0.000 0.000
Rh2 0.000 0.500 0.500

***

[8]
Here is a relaxed Li4Ac2Ge3Pb crystal from the Alexandria database. Energies are from PBE.

Properties
volume: 22.23 A^3/atom
DFT formation energy: -0.492 eV per atom
E_tot: -38.4 eV for the cell shown
space group: P-4m2

Cell: 4.531 4.531 10.830 Å, 90.00 90.00 90.00°
Atoms (fractional coordinates):
Li1 0.000 0.000 0.000
Li2 0.000 0.500 0.356
Li3 0.500 0.000 0.644
Li4 0.500 0.500 0.000
Ac1 0.000 0.500 0.768
Ac2 0.500 0.000 0.232
Ge1 0.000 0.000 0.500
Ge2 0.000 0.500 0.123
Ge3 0.500 0.000 0.877
Pb1 0.500 0.500 0.500

***

[9]
Here is a relaxed Be4VCu crystal from the Alexandria database. Energies are from PBE.

Properties
volume: 9.50 A^3/atom
DFT formation energy: -0.007 eV per atom
E_tot: -28.2 eV for the cell shown
space group: F-43m

Cell: 4.320 4.320 4.320 Å, 60.00 60.00 60.00°
Atoms (fractional coordinates):
Be1 0.122 0.122 0.122
Be2 0.122 0.122 0.633
Be3 0.122 0.633 0.122
Be4 0.633 0.122 0.122
V1 0.750 0.750 0.750
Cu1 0.500 0.500 0.500

***

[10]
Here is a relaxed PaReTcSb crystal from the Alexandria database. Energies are from PBE.

Properties
volume: 19.16 A^3/atom
E_tot: -145.2 eV for the cell shown
space group: F-43m
formation energy without anion corrections: 0.13 eV per formula unit

Cell: 6.743 6.743 6.743 Å, 90.00 90.00 90.00°
Atoms (fractional coordinates):
Pa1 0.000 0.000 0.000
Pa2 0.000 0.500 0.500
Pa3 0.500 0.000 0.500
Pa4 0.500 0.500 0.000
Re1 0.250 0.250 0.250
Re2 0.250 0.750 0.750
Re3 0.750 0.250 0.750
Re4 0.750 0.750 0.250
Tc1 0.250 0.250 0.750
Tc2 0.250 0.750 0.250
Tc3 0.750 0.250 0.250
Tc4 0.750 0.750 0.750
Sb1 0.000 0.000 0.500
Sb2 0.000 0.500 0.000
Sb3 0.500 0.000 0.000
Sb4 0.500 0.500 0.500

***

[11]
Here is a relaxed BeCuF2 crystal from the Alexandria database. Energies are from PBE.

Properties
volume: 12.07 A^3/atom
excess energy over the best structure of this formula in the dataset: 0.2598 eV/atom
E_tot: -37.0 eV for the cell shown
space group: Fd-3m
formation energy without anion corrections: -6.96 eV per formula unit

Cell: 5.149 5.149 5.149 Å, 60.00 60.00 60.00°
Atoms (fractional coordinates):
Be1 0.125 0.125 0.125
Be2 0.875 0.875 0.875
Cu1 0.375 0.375 0.375
Cu2 0.625 0.625 0.625
F1 0.000 0.000 0.000
F2 0.000 0.000 0.500
F3 0.000 0.500 0.000
F4 0.500 0.000 0.000

***

[12]
Here is a relaxed SmThPd crystal from the Alexandria database. Energies are from PBE.

Properties
volume: 26.83 A^3/atom
excess energy over the best structure of this formula in the dataset: 0.0714 eV/atom
DFT formation energy: -0.440 eV per atom
E_tot: -37.3 eV for the cell shown
space group: I4mm

Cell: 3.704 3.704 11.734 Å, 90.00 90.00 90.00°
Atoms (fractional coordinates):
Sm1 0.000 0.000 0.000
Sm2 0.500 0.500 0.500
Th1 0.000 0.000 0.705
Th2 0.500 0.500 0.205
Pd1 0.000 0.000 0.334
Pd2 0.500 0.500 0.834

***

Question: Which of these has the lowest volume?
Answer: Be4VCu

***

Question: What is the E_tot in the seventh record?
Answer: -108.5 eV for the cell shown